Record 1
# CaTmZnPt, optimized geometry, DFT GGA-PBE
data_CaTmZnPt
_space_group_name_H-M_alt 'F -4 3 m'
_space_group_IT_number 216
_space_group_name_Hall 'F -4 2 3'
_cell_length_a 6.998
_cell_length_b 6.998
_cell_length_c 6.998
_cell_angle_alpha 90.00
_cell_angle_beta 90.00
_cell_angle_gamma 90.00
loop_
_atom_site_label
_atom_site_fract_x
_atom_site_fract_y
_atom_site_fract_z
_atom_site_occupancy
Ca1 0.000 0.000 0.000 1
Tm1 0.000 0.000 0.500 1
Zn1 0.250 0.250 0.750 1
Pt1 0.250 0.250 0.250 1
# - magnetic moment (μB/atom) = 0.000
# - final energy (hartree per atom) = -0.1520



Record 2
# SiNiP, optimized geometry, DFT GGA-PBE
data_SiNiP
_space_group_name_H-M_alt 'C 1 m 1'
_space_group_IT_number 8
_space_group_name_Hall 'C -2y'
_cell_length_a 6.968
_cell_length_b 2.630
_cell_length_c 4.767
_cell_angle_alpha 90.00
_cell_angle_beta 90.86
_cell_angle_gamma 90.00
loop_
_atom_site_label
_atom_site_fract_x
_atom_site_fract_y
_atom_site_fract_z
_atom_site_occupancy
Si1 0.000 0.000 0.000 1
Ni1 0.214 0.500 0.732 1
P1 0.494 0.500 0.486 1
# - magnetic moment (μB/atom) = 0.000
# - final energy (hartree per atom) = -0.2077



Record 3
# Sm3Ho8Sc, optimized geometry, DFT GGA-PBE
data_Sm3Ho8Sc
_space_group_name_H-M_alt 'I -4 2 m'
_space_group_IT_number 121
_space_group_name_Hall 'I -4 2'
_cell_length_a 8.662
_cell_length_b 8.662
_cell_length_c 11.261
_cell_angle_alpha 90.00
_cell_angle_beta 90.00
_cell_angle_gamma 90.00
loop_
_atom_site_label
_atom_site_fract_x
_atom_site_fract_y
_atom_site_fract_z
_atom_site_occupancy
Sm1 0.000 0.000 0.000 1
Sm2 0.000 0.500 0.250 1
Ho1 0.126 0.126 0.261 1
Ho2 0.234 0.234 0.526 1
Sc1 0.000 0.000 0.500 1
# - magnetic moment (μB/atom) = 0.001
# - final energy (hartree per atom) = -0.1525



Record 4
# Ta3AlTl, optimized geometry, DFT GGA-PBE
data_Ta3AlTl
_space_group_name_H-M_alt 'P m -3 m'
_space_group_IT_number 221
_space_group_name_Hall '-P 4 2 3'
_cell_length_a 4.743
_cell_length_b 4.743
_cell_length_c 4.743
_cell_angle_alpha 90.00
_cell_angle_beta 90.00
_cell_angle_gamma 90.00
loop_
_atom_site_label
_atom_site_fract_x
_atom_site_fract_y
_atom_site_fract_z
_atom_site_occupancy
Ta1 0.000 0.000 0.500 1
Al1 0.000 0.000 0.000 1
Tl1 0.500 0.500 0.500 1
# - magnetic moment (μB/atom) = 0.000
# - final energy (hartree per atom) = -0.2598



Record 5
# Tm2Th5Sc12, optimized geometry, DFT GGA-PBE
data_Tm2Th5Sc12
_space_group_name_H-M_alt 'C 1 2/m 1'
_space_group_IT_number 12
_space_group_name_Hall '-C 2y'
_cell_length_a 10.491
_cell_length_b 10.651
_cell_length_c 9.776
_cell_angle_alpha 90.00
_cell_angle_beta 107.25
_cell_angle_gamma 90.00
loop_
_atom_site_label
_atom_site_fract_x
_atom_site_fract_y
_atom_site_fract_z
_atom_site_occupancy
Tm1 0.000 0.235 0.000 1
Th1 0.000 0.500 0.500 1
Th2 0.164 0.000 0.602 1
Th3 0.232 0.000 0.973 1
Sc1 0.031 0.500 0.182 1
Sc2 0.103 0.000 0.242 1
Sc3 0.107 0.252 0.395 1
Sc4 0.184 0.284 0.769 1
# - magnetic moment (μB/atom) = 0.000
# - final energy (hartree per atom) = -0.2319



Record 6
# Sb2AuSe2, optimized geometry, DFT GGA-PBE
data_Sb2AuSe2
_space_group_name_H-M_alt 'I b a m'
_space_group_IT_number 72
_space_group_name_Hall '-I 2 2c'
_cell_length_a 9.744
_cell_length_b 10.752
_cell_length_c 5.340
_cell_angle_alpha 90.00
_cell_angle_beta 90.00
_cell_angle_gamma 90.00
loop_
_atom_site_label
_atom_site_fract_x
_atom_site_fract_y
_atom_site_fract_z
_atom_site_occupancy
Sb1 0.238 0.113 0.000 1
Au1 0.000 0.000 0.250 1
Se1 0.141 0.362 0.000 1
# - magnetic moment (μB/atom) = 0.000
# - final energy (hartree per atom) = -0.1371



Record 7
# Bi8RuPt2, optimized geometry, DFT GGA-PBE
data_Bi8RuPt2
_space_group_name_H-M_alt 'C 1 2/m 1'
_space_group_IT_number 12
_space_group_name_Hall '-C 2y'
_cell_length_a 11.572
_cell_length_b 10.354
_cell_length_c 5.727
_cell_angle_alpha 90.00
_cell_angle_beta 91.37
_cell_angle_gamma 90.00
loop_
_atom_site_label
_atom_site_fract_x
_atom_site_fract_y
_atom_site_fract_z
_atom_site_occupancy
Bi1 0.053 0.000 0.252 1
Bi2 0.074 0.289 0.736 1
Bi3 0.201 0.500 0.259 1
Ru1 0.000 0.500 0.000 1
Pt1 0.218 0.500 0.756 1
# - magnetic moment (μB/atom) = 0.000
# - final energy (hartree per atom) = -0.1712



Record 8
# Pr2AuI, optimized geometry, DFT GGA-PBE
data_Pr2AuI
_space_group_name_H-M_alt 'R -3 m'
_space_group_IT_number 166
_space_group_name_Hall '-R 3 2"'
_cell_length_a 4.3757
_cell_length_b 4.3757
_cell_length_c 23.8429
_cell_angle_alpha 90.00
_cell_angle_beta 90.00
_cell_angle_gamma 120.00
loop_
_atom_site_label
_atom_site_fract_x
_atom_site_fract_y
_atom_site_fract_z
_atom_site_occupancy
Pr1 0.0000 0.0000 0.2358 1
Au1 0.0000 0.0000 0.5000 1
I1 0.0000 0.0000 0.0000 1
# - magnetic moment (μB/atom) = 0.000
# - final energy (hartree per atom) = -0.1627